1.
First-principles (PBE) data for a geometry-optimized Sc2FeSi2Ru5 structure, as listed in Alexandria.

Computed properties:
Space-group type: P4/mbm, No. 127
Energy: -167.37 eV per cell

Lattice parameters (Å, degrees): 9.7087 9.7087 3.1746 90.00 90.00 90.00
Closest atoms and distances in Å follow each position.
Atoms (fractional coordinates):
Sc (0.1713, 0.3287, 0.0000)  3 Si 2.72-2.95, 6 Ru 2.84-3.00
Sc (0.3287, 0.8287, 0.0000)  3 Si 2.72-2.95, 6 Ru 2.84-3.00
Sc (0.6713, 0.1713, 0.0000)  3 Si 2.72-2.95, 6 Ru 2.84-3.00
Sc (0.8287, 0.6713, 0.0000)  3 Si 2.72-2.95, 6 Ru 2.84-3.00
Fe (0.0000, 0.0000, 0.0000)  8 Ru 2.61
Fe (0.5000, 0.5000, 0.0000)  8 Ru 2.61
Si (0.1303, 0.6303, 0.0000)  6 Ru 2.35-2.39
Si (0.3697, 0.1303, 0.0000)  6 Ru 2.35-2.39
Si (0.6303, 0.8697, 0.0000)  6 Ru 2.35-2.39
Si (0.8697, 0.3697, 0.0000)  6 Ru 2.35-2.39
Ru (0.0000, 0.5000, 0.5000)  4 Si 2.39
Ru (0.0679, 0.7982, 0.5000)  2 Si 2.35, 2 Fe 2.61
Ru (0.2018, 0.0679, 0.5000)  2 Si 2.35, 2 Fe 2.61
Ru (0.2982, 0.5679, 0.5000)  2 Si 2.35, 2 Fe 2.61
Ru (0.4321, 0.2982, 0.5000)  2 Si 2.35, 2 Fe 2.61
Ru (0.5000, 0.0000, 0.5000)  4 Si 2.39
Ru (0.5679, 0.7018, 0.5000)  2 Si 2.35, 2 Fe 2.61
Ru (0.7018, 0.4321, 0.5000)  2 Si 2.35, 2 Fe 2.61
Ru (0.7982, 0.9321, 0.5000)  2 Si 2.35, 2 Fe 2.61
Ru (0.9321, 0.2018, 0.5000)  2 Si 2.35, 2 Fe 2.61

***

2.
First-principles (PBE) data for a geometry-optimized ScFeSiRu structure, as listed in Alexandria.

Computed properties:
Space-group type: F-43m, No. 216
Energy: -31.50 eV per cell

Lattice parameters (Å, degrees): 4.2502 4.2502 4.2502 60.00 60.00 60.00
Closest atoms and distances in Å follow each position.
Atoms (fractional coordinates):
Sc (0.0000, 0.0000, 0.0000)  4 Fe 2.60, 4 Ru 2.60
Fe (0.7500, 0.7500, 0.7500)  4 Sc 2.60, 4 Si 2.60
Si (0.5000, 0.5000, 0.5000)  4 Fe 2.60, 4 Ru 2.60
Ru (0.2500, 0.2500, 0.2500)  4 Sc 2.60, 4 Si 2.60

***

3.
First-principles (PBE) data for a geometry-optimized ScFeSnRu structure, as listed in Alexandria.

Computed properties:
Space-group type: F-43m, No. 216
Energy: -29.30 eV per cell

Lattice parameters (Å, degrees): 4.4808 4.4808 4.4808 60.00 60.00 60.00
Closest atoms and distances in Å follow each position.
Atoms (fractional coordinates):
Sc (0.0000, 0.0000, 0.0000)  4 Ru 2.74, 4 Fe 2.74
Fe (0.2500, 0.2500, 0.2500)  4 Sn 2.74, 4 Sc 2.74
Sn (0.5000, 0.5000, 0.5000)  4 Fe 2.74, 4 Ru 2.74
Ru (0.7500, 0.7500, 0.7500)  4 Sc 2.74, 4 Sn 2.74

***

4.
First-principles (PBE) data for a geometry-optimized ScTaFeRu structure, as listed in Alexandria.

Computed properties:
Space-group type: P4mm, No. 99
Energy: -37.57 eV per cell

Lattice parameters (Å, degrees): 3.1350 3.1350 6.3207 90.00 90.00 90.00
Closest atoms and distances in Å follow each position.
Atoms (fractional coordinates):
Sc (0.0000, 0.0000, 0.0000)  4 Fe 2.77, 4 Ru 2.79, 1 Ta 3.07
Ta (0.0000, 0.0000, 0.4852)  4 Fe 2.62, 4 Ru 2.71
Fe (0.5000, 0.5000, 0.2636)  4 Ta 2.62, 4 Sc 2.77
Ru (0.5000, 0.5000, 0.7330)  4 Ta 2.71, 4 Sc 2.79, 1 Fe 2.97

***

5.
First-principles (PBE) data for a geometry-optimized ThScFeRu structure, as listed in Alexandria.

Computed properties:
Space-group type: F-43m, No. 216
Energy: -32.44 eV per cell

Lattice parameters (Å, degrees): 4.7357 4.7357 4.7357 60.00 60.00 60.00
Closest atoms and distances in Å follow each position.
Atoms (fractional coordinates):
Th (0.0000, 0.0000, 0.0000)  4 Fe 2.90, 4 Ru 2.90
Sc (0.5000, 0.5000, 0.5000)  4 Fe 2.90, 4 Ru 2.90
Fe (0.7500, 0.7500, 0.7500)  4 Th 2.90, 4 Sc 2.90
Ru (0.2500, 0.2500, 0.2500)  4 Th 2.90, 4 Sc 2.90

***

6.
First-principles (PBE) data for a geometry-optimized ScZnFeRu structure, as listed in Alexandria.

Computed properties:
Space-group type: F-43m, No. 216
Energy: -25.95 eV per cell

Lattice parameters (Å, degrees): 4.3836 4.3836 4.3836 60.00 60.00 60.00
Closest atoms and distances in Å follow each position.
Atoms (fractional coordinates):
Sc (0.0000, 0.0000, 0.0000)  4 Fe 2.68, 4 Zn 2.68
Zn (0.7500, 0.7500, 0.7500)  4 Ru 2.68, 4 Sc 2.68
Fe (0.2500, 0.2500, 0.2500)  4 Ru 2.68, 4 Sc 2.68
Ru (0.5000, 0.5000, 0.5000)  4 Zn 2.68, 4 Fe 2.68

***

7.
First-principles (PBE) data for a geometry-optimized Fe2RuSe structure, as listed in Alexandria.

Computed properties:
Space-group type: Cmm2, No. 35
Energy: -27.96 eV per cell

Lattice parameters (Å, degrees): 2.7528 2.7528 8.2999 90.00 90.00 114.71
Closest atoms and distances in Å follow each position.
Atoms (fractional coordinates):
Fe (0.0000, 0.0000, 0.0000)  2 Fe 2.42, 2 Se 2.55
Fe (0.5000, 0.5000, 0.2308)  2 Fe 2.42, 2 Ru 2.50
Ru (0.0000, 0.0000, 0.4732)  2 Fe 2.50, 2 Se 2.74, 4 Ru 2.75
Se (0.5000, 0.5000, 0.7510)  2 Fe 2.55, 2 Ru 2.74, 4 Se 2.75

***

8.
First-principles (PBE) data for a geometry-optimized Fe2RuSe structure, as listed in Alexandria.

Computed properties:
Space-group type: R3m, No. 160
Energy: -28.51 eV per cell

Lattice parameters (Å, degrees): 7.8658 7.8658 7.8658 21.24 21.24 21.24
Closest atoms and distances in Å follow each position.
Atoms (fractional coordinates):
Fe (0.0000, 0.0000, 0.0000)  3 Fe 2.48, 3 Se 2.50
Fe (0.2540, 0.2540, 0.2540)  3 Fe 2.48, 3 Ru 2.60
Ru (0.5013, 0.5013, 0.5013)  3 Fe 2.60, 3 Se 2.62, 6 Ru 2.90
Se (0.7473, 0.7473, 0.7473)  3 Fe 2.50, 3 Ru 2.62

***

9.
First-principles (PBE) data for a geometry-optimized Fe2RuSe structure, as listed in Alexandria.

Computed properties:
Space-group type: R-3m, No. 166
Energy: -28.31 eV per cell

Lattice parameters (Å, degrees): 8.1678 8.1678 8.1678 19.68 19.68 19.68
Closest atoms and distances in Å follow each position.
Atoms (fractional coordinates):
Fe (0.2478, 0.2478, 0.2478)  3 Se 2.53, 3 Ru 2.61, 6 Fe 2.79
Fe (0.7522, 0.7522, 0.7522)  3 Se 2.53, 3 Ru 2.61, 6 Fe 2.79
Ru (0.0000, 0.0000, 0.0000)  6 Fe 2.61, 6 Ru 2.79
Se (0.5000, 0.5000, 0.5000)  6 Fe 2.53, 6 Se 2.79

***

10.
First-principles (PBE) data for a geometry-optimized Fe2RuSe structure, as listed in Alexandria.

Computed properties:
Space-group type: Cm, No. 8
Energy: -28.71 eV per cell

Lattice parameters (Å, degrees): 4.5484 4.5484 4.3764 105.05 105.05 38.69
Closest atoms and distances in Å follow each position.
Atoms (fractional coordinates):
Fe (0.0000, 0.0000, 0.0000)  3 Fe 2.47-2.49, 4 Ru 2.63-2.68, 2 Se 2.68
Fe (0.7372, 0.7372, 0.1367)  3 Fe 2.47-2.49, 2 Se 2.53
Ru (0.5049, 0.5049, 0.4954)  3 Se 2.53, 6 Fe 2.63-2.83
Se (0.2501, 0.2501, 0.6804)  6 Fe 2.53-2.79, 3 Ru 2.53

***

11.
First-principles (PBE) data for a geometry-optimized FeRu4Se structure, as listed in Alexandria.

Computed properties:
Space-group type: F-43m, No. 216
Energy: -44.28 eV per cell

Lattice parameters (Å, degrees): 5.1189 5.1189 5.1189 60.00 60.00 60.00
Closest atoms and distances in Å follow each position.
Atoms (fractional coordinates):
Fe (0.0000, 0.0000, 0.0000)  12 Ru 3.00, 4 Se 3.13
Ru (0.1249, 0.6250, 0.6250)  6 Ru 2.56
Ru (0.6250, 0.1249, 0.6250)  6 Ru 2.56
Ru (0.6250, 0.6250, 0.1249)  6 Ru 2.56
Ru (0.6250, 0.6250, 0.6250)  6 Ru 2.56
Se (0.2500, 0.2500, 0.2500)  12 Ru 3.00, 4 Fe 3.13

***

12.
First-principles (PBE) data for a geometry-optimized FeRuSe structure, as listed in Alexandria.

Computed properties:
Space-group type: Imm2, No. 44
ΔE to the lowest computed polymorph: 99 meV/atom

Lattice parameters (Å, degrees): 4.4792 4.4792 4.4792 140.04 130.12 65.73
Closest atoms and distances in Å follow each position.
Atoms (fractional coordinates):
Fe (0.0000, 0.0000, 0.0000)  1 Se 2.38, 1 Ru 2.60
Ru (0.6545, 0.6545, 0.0000)  5 Se 2.54-2.72, 5 Fe 2.60-2.69
Se (0.3168, 0.3168, 0.0000)  1 Fe 2.38, 1 Ru 2.54

***

> Which formula does entry 2 have?

ScFeSiRu